HoCu3Ni | PBE-GGA | optimized geometry

a = 4.8151 Å, b = 4.8151 Å, c = 8.5828 Å
α = 106.29°, β = 106.29°, γ = 90.00°
With the nearest neighbours (Å) after each atom.
Element x y z (fractional)
Ho (0.5714, 0.0714, 0.1428)  2 Ni 2.66, 4 Cu 2.84
Cu (0.2906, 0.2906, 0.5812)  2 Ni 2.49
Cu (0.1284, 0.8761, 0.2569)  2 Ni 2.26-2.36, 2 Cu 2.39-2.43
Cu (0.7094, 0.7094, 0.4188)  2 Ni 2.49
Ni (0.2500, 0.7500, 0.5000)  8 Cu 2.26-2.49
Ni (0.0000, 0.0000, 0.0000)  4 Cu 2.36
Cu (0.1239, 0.8716, 0.7431)  2 Ni 2.26-2.36, 2 Cu 2.39-2.43
Cu (0.6193, 0.8716, 0.7431)  2 Ni 2.26-2.36, 2 Cu 2.39-2.43
Cu (0.1284, 0.3807, 0.2569)  2 Ni 2.26-2.36, 2 Cu 2.39-2.43
Ho (0.9286, 0.4286, 0.8572)  2 Ni 2.66, 4 Cu 2.84

Computed properties:
ΔH_f (0 K)	137	meV/atom
calculated volume	18.27	Å³/atom
total moment	0.00	μB per cell

---

La2Al3Ni12Pt | PBE-GGA | optimized geometry

a = 9.4745 Å, b = 9.4745 Å, c = 9.4745 Å
α = 37.16°, β = 37.16°, γ = 37.16°
With the nearest neighbours (Å) after each atom.
Element x y z (fractional)
Ni (0.6448, 0.0655, 0.0655)  4 Ni 2.38-2.54, 1 Al 2.45, 1 Pt 2.46
Ni (0.0655, 0.0655, 0.6448)  4 Ni 2.38-2.54, 1 Al 2.45, 1 Pt 2.46
Pt (0.0000, 0.0000, 0.0000)  6 Ni 2.46
Ni (0.0655, 0.6448, 0.0655)  4 Ni 2.38-2.54, 1 Al 2.45, 1 Pt 2.46
Ni (0.4165, 0.4165, 0.8097)  2 Al 2.32, 4 Ni 2.37-2.38
Al (0.5000, 0.0000, 0.0000)  6 Ni 2.32-2.45
Ni (0.8097, 0.4165, 0.4165)  2 Al 2.32, 4 Ni 2.37-2.38
Ni (0.1903, 0.5835, 0.5835)  2 Al 2.32, 4 Ni 2.37-2.38
Ni (0.4165, 0.8097, 0.4165)  2 Al 2.32, 4 Ni 2.37-2.38
Ni (0.9345, 0.9345, 0.3552)  4 Ni 2.38-2.54, 1 Al 2.45, 1 Pt 2.46
Ni (0.9345, 0.3552, 0.9345)  4 Ni 2.38-2.54, 1 Al 2.45, 1 Pt 2.46
La (0.3472, 0.3472, 0.3472)  12 Ni 3.09-3.43
Ni (0.5835, 0.5835, 0.1903)  2 Al 2.32, 4 Ni 2.37-2.38
Al (0.0000, 0.5000, 0.0000)  6 Ni 2.32-2.45
Al (0.0000, 0.0000, 0.5000)  6 Ni 2.32-2.45
Ni (0.3552, 0.9345, 0.9345)  4 Ni 2.38-2.54, 1 Al 2.45, 1 Pt 2.46
Ni (0.5835, 0.1903, 0.5835)  2 Al 2.32, 4 Ni 2.37-2.38
La (0.6528, 0.6528, 0.6528)  12 Ni 3.09-3.43

Computed properties:
ΔH_f (0 K)	-71	meV/atom
calculated volume	15.45	Å³/atom
total moment	0.00	μB per cell

---

ZrAgTe2 | PBE-GGA | optimized geometry

a = 3.9476 Å, b = 3.9476 Å, c = 8.1296 Å
α = 75.89°, β = 75.89°, γ = 60.01°
With the nearest neighbours (Å) after each atom.
Element x y z (fractional)
Te (0.0031, 0.0031, 0.9898)  3 Zr 2.95, 3 Ag 3.05-3.06
Ag (0.2500, 0.2500, 0.2500)  6 Te 3.05-3.06
Te (0.4969, 0.4969, 0.5102)  3 Zr 2.95, 3 Ag 3.05-3.06
Zr (0.7500, 0.7500, 0.7500)  6 Te 2.95

Computed properties:
E	-19.557	eV/cell
calculated volume	26.32	Å³/atom
total moment	0.00	μB per cell

---

Repeat the second record exactly.
La2Al3Ni12Pt | PBE-GGA | optimized geometry

a = 9.4745 Å, b = 9.4745 Å, c = 9.4745 Å
α = 37.16°, β = 37.16°, γ = 37.16°
With the nearest neighbours (Å) after each atom.
Element x y z (fractional)
Ni (0.6448, 0.0655, 0.0655)  4 Ni 2.38-2.54, 1 Al 2.45, 1 Pt 2.46
Ni (0.0655, 0.0655, 0.6448)  4 Ni 2.38-2.54, 1 Al 2.45, 1 Pt 2.46
Pt (0.0000, 0.0000, 0.0000)  6 Ni 2.46
Ni (0.0655, 0.6448, 0.0655)  4 Ni 2.38-2.54, 1 Al 2.45, 1 Pt 2.46
Ni (0.4165, 0.4165, 0.8097)  2 Al 2.32, 4 Ni 2.37-2.38
Al (0.5000, 0.0000, 0.0000)  6 Ni 2.32-2.45
Ni (0.8097, 0.4165, 0.4165)  2 Al 2.32, 4 Ni 2.37-2.38
Ni (0.1903, 0.5835, 0.5835)  2 Al 2.32, 4 Ni 2.37-2.38
Ni (0.4165, 0.8097, 0.4165)  2 Al 2.32, 4 Ni 2.37-2.38
Ni (0.9345, 0.9345, 0.3552)  4 Ni 2.38-2.54, 1 Al 2.45, 1 Pt 2.46
Ni (0.9345, 0.3552, 0.9345)  4 Ni 2.38-2.54, 1 Al 2.45, 1 Pt 2.46
La (0.3472, 0.3472, 0.3472)  12 Ni 3.09-3.43
Ni (0.5835, 0.5835, 0.1903)  2 Al 2.32, 4 Ni 2.37-2.38
Al (0.0000, 0.5000, 0.0000)  6 Ni 2.32-2.45
Al (0.0000, 0.0000, 0.5000)  6 Ni 2.32-2.45
Ni (0.3552, 0.9345, 0.9345)  4 Ni 2.38-2.54, 1 Al 2.45, 1 Pt 2.46
Ni (0.5835, 0.1903, 0.5835)  2 Al 2.32, 4 Ni 2.37-2.38
La (0.6528, 0.6528, 0.6528)  12 Ni 3.09-3.43

Computed properties:
ΔH_f (0 K)	-71	meV/atom
calculated volume	15.45	Å³/atom
total moment	0.00	μB per cell

---

What is the total moment in the second record? 0.00 μB per cell